No. 1
The following is a PBE calculation of crystalline PmNd2ZrP4 at its relaxed geometry, from Alexandria via LeMat-Bulk.

a = 6.998 Å, b = 4.036 Å, c = 7.004 Å
α = 90.00°, β = 109.21°, γ = 90.00°
Space group P2/m (No. 10)
One atom of each set of equivalent atoms:
Pm 0.000 0.000 0.000 [1 per cell]
Nd 0.000 0.500 0.500 [1 per cell]
Nd 0.500 0.000 0.500 [1 per cell]
Zr 0.500 0.500 0.000 [1 per cell]
P 0.259 0.500 0.238 [2 per cell]
P 0.267 0.000 0.769 [2 per cell]

Summary:
The formation energy comes out at -1.48 eV/atom.

---

No. 2
The following is a PBE calculation of crystalline Pr5Nd3P8 at its relaxed geometry, from Alexandria via LeMat-Bulk.

a = 8.3813 Å, b = 8.3813 Å, c = 20.5308 Å
α = 90.00°, β = 90.00°, γ = 120.00°
Space group R-3m (No. 166, hexagonal axes)
One atom of each set of equivalent atoms:
Pr 0.0000 0.0000 0.0000 [3 per cell]
Pr 0.0000 0.0000 0.5000 [3 per cell]
Pr 0.0000 0.5000 0.0000 [9 per cell]
Nd 0.0000 0.5000 0.5000 [9 per cell]
P 0.0000 0.0000 0.2493 [6 per cell]
P 0.0009 0.5005 0.7505 [18 per cell]

Summary:
The formation energy comes out at -1.52 eV/atom.

---

No. 3
The following is a PBE calculation of crystalline PrNd2P3 at its relaxed geometry, from Alexandria via LeMat-Bulk.

a = 4.186 Å, b = 5.907 Å, c = 12.537 Å
α = 90.00°, β = 90.00°, γ = 90.00°
Space group Immm (No. 71)
One atom of each set of equivalent atoms:
Pr 0.000 0.000 0.000 [2 per cell]
Nd 0.000 0.000 0.333 [4 per cell]
P 0.000 0.500 0.000 [2 per cell]
P 0.000 0.500 0.332 [4 per cell]

Summary:
The formation energy comes out at -1.53 eV/atom.

---

No. 4
The following is a PBE calculation of crystalline Pr3NdP4 at its relaxed geometry, from Alexandria via LeMat-Bulk.

a = 8.391 Å, b = 11.860 Å, c = 4.198 Å
α = 90.00°, β = 90.00°, γ = 90.00°
Space group Cmmm (No. 65)
One atom of each set of equivalent atoms:
Pr 0.000 0.000 0.000 [2 per cell]
Pr 0.250 0.250 0.500 [4 per cell]
Nd 0.000 0.500 0.000 [2 per cell]
P 0.000 0.251 0.000 [4 per cell]
P 0.249 0.500 0.500 [4 per cell]

Summary:
The formation energy comes out at -1.52 eV/atom.

---

No. 5
The following is a PBE calculation of crystalline Pr5NdP6 at its relaxed geometry, from Alexandria via LeMat-Bulk.

a = 7.274 Å, b = 12.595 Å, c = 7.274 Å
α = 90.00°, β = 109.49°, γ = 90.00°
Space group C2/m (No. 12)
One atom of each set of equivalent atoms:
Pr 0.000 0.000 0.000 [2 per cell]
Pr 0.000 0.167 0.500 [4 per cell]
Pr 0.000 0.333 0.000 [4 per cell]
Nd 0.000 0.500 0.500 [2 per cell]
P 0.249 0.334 0.749 [8 per cell]
P 0.249 0.500 0.251 [4 per cell]

Summary:
The formation energy comes out at -1.52 eV/atom.

---

No. 6
The following is a PBE calculation of crystalline PrNd3P4 at its relaxed geometry, from Alexandria via LeMat-Bulk.

a = 5.906 Å, b = 5.906 Å, c = 5.906 Å
α = 90.00°, β = 90.00°, γ = 90.00°
Space group Pm-3m (No. 221)
One atom of each set of equivalent atoms:
Pr 0.000 0.000 0.000 [1 per cell]
Nd 0.000 0.500 0.500 [3 per cell]
P 0.000 0.000 0.500 [3 per cell]
P 0.500 0.500 0.500 [1 per cell]

Summary:
The formation energy comes out at -1.54 eV/atom. As for the energy above the most stable polymorph in this dataset: 0 meV/atom.

---

Question: Which formula does entry 4 have?
Answer: Pr3NdP4